1.
Entry from the Alexandria database: crystalline Pr3Pd4 at its relaxed geometry (PBE).

a b c (Å): 8.2305 8.2305 8.2305
angles (deg): 114.51 114.51 114.51
Closest atoms and distances in Å follow each position.
Sites, in units of the cell vectors:
Pr 0.0281 0.2794 0.4053  7 Pd 2.95-3.18
Pr 0.2794 0.4053 0.0281  7 Pd 2.95-3.18
Pr 0.4053 0.0281 0.2794  7 Pd 2.95-3.18
Pr 0.5947 0.9719 0.7206  7 Pd 2.95-3.18
Pr 0.7206 0.5947 0.9719  7 Pd 2.95-3.18
Pr 0.9719 0.7206 0.5947  7 Pd 2.95-3.18
Pd 0.0000 0.0000 0.0000  2 Pd 2.94, 6 Pr 3.00
Pd 0.0586 0.5543 0.2226  5 Pr 2.95-3.18, 3 Pd 2.97-3.06
Pd 0.2226 0.0586 0.5543  5 Pr 2.95-3.18, 3 Pd 2.97-3.06
Pd 0.4457 0.7774 0.9414  5 Pr 2.95-3.18, 3 Pd 2.97-3.06
Pd 0.5000 0.5000 0.5000  2 Pd 2.94, 6 Pr 3.07
Pd 0.5543 0.2226 0.0586  5 Pr 2.95-3.18, 3 Pd 2.97-3.06
Pd 0.7774 0.9414 0.4457  5 Pr 2.95-3.18, 3 Pd 2.97-3.06
Pd 0.9414 0.4457 0.7774  5 Pr 2.95-3.18, 3 Pd 2.97-3.06

Calculated values
Raw total energy in eV for the cell shown: -81.23
SG: R-3
ΔE_f in kJ/mol of formula units: -531


2.
Entry from the Alexandria database: crystalline RbVCr2Cl at its relaxed geometry (PBE).

a b c (Å): 5.8903 5.8903 5.6610
angles (deg): 90.00 90.00 90.00
Closest atoms and distances in Å follow each position.
Sites, in units of the cell vectors:
Rb 0.0000 0.0000 0.0000  2 V 2.83, 4 Cr 2.95
V 0.0000 0.0000 0.5000  2 Rb 2.83
Cr 0.0000 0.5000 0.0000  2 Rb 2.95
Cr 0.5000 0.0000 0.0000  2 Rb 2.95
Cl 0.5000 0.5000 0.5000  8 Cr 4.08, 4 V 4.17

Calculated values
Raw total energy in eV for the cell shown: -20.21
Uncorrected formation energy in eV/atom: 2.193
SG: P4/mmm


3.
Entry from the Alexandria database: crystalline Al2PbI at its relaxed geometry (PBE).

a b c (Å): 5.3284 5.3284 5.3284
angles (deg): 60.00 60.00 60.00
Closest atoms and distances in Å follow each position.
Sites, in units of the cell vectors:
Al 0.2500 0.2500 0.2500  4 Pb 3.26, 4 I 3.26
Al 0.7500 0.7500 0.7500  4 Pb 3.26, 4 I 3.26
Pb 0.0000 0.0000 0.0000  8 Al 3.26
I 0.5000 0.5000 0.5000  8 Al 3.26

Calculated values
Raw total energy in eV for the cell shown: -11.18
Uncorrected formation energy in eV/atom: 0.391
SG: Fm-3m